{
  "formula": "TlC2",
  "functional": "GGA-PBE",
  "state": "relaxed",
  "cell": [[1.4450, -11.4655, 0.0000], [1.4450, 11.4655, 0.0000], [0.0000, 0.0000, 2.6621]],
  "species": ["Tl", "Tl", "C", "C", "C", "C"],
  "frac_coords": [[0.1364, 0.8636, 0.7500], [0.8636, 0.1364, 0.2500], [0.5007, 0.4993, 0.7500], [0.4993, 0.5007, 0.2500], [0.7491, 0.2509, 0.7500], [0.2509, 0.7491, 0.2500]],
  "de_polymorph_mev_per_atom": 902.4,
  "magnetic_moment_mub_per_cell": 0.00,
  "spacegroup": "No. 63",
  "energy_ev_per_cell": -30.8
}